No. 1
# PrScAlHg (GGA-PBE, optimized geometry)
data_PrScAlHg
_chemical_formula_sum 'Pr4 Sc4 Al4 Hg4'
_space_group_name_H-M_alt 'F -4 3 m'
_space_group_IT_number 216
_space_group_name_Hall 'F -4 2 3'
_cell_length_a 7.3273
_cell_length_b 7.3273
_cell_length_c 7.3273
_cell_angle_alpha 90.00
_cell_angle_beta 90.00
_cell_angle_gamma 90.00
loop_
_atom_site_label
_atom_site_type_symbol
_atom_site_fract_x
_atom_site_fract_y
_atom_site_fract_z
Pr1 Pr 0.0000 0.0000 0.0000
Sc1 Sc 0.0000 0.0000 0.5000
Al1 Al 0.2500 0.2500 0.7500
Hg1 Hg 0.2500 0.2500 0.2500
# ΔH_f (0 K) in meV/atom: -347
# Total moment in μB/cell: 0.00
# Final energy in eV/atom: -4.136

***

No. 2
# SrPrAlHg (GGA-PBE, optimized geometry)
data_SrPrAlHg
_chemical_formula_sum 'Sr4 Pr4 Al4 Hg4'
_space_group_name_H-M_alt 'F -4 3 m'
_space_group_IT_number 216
_space_group_name_Hall 'F -4 2 3'
_cell_length_a 7.8056
_cell_length_b 7.8056
_cell_length_c 7.8056
_cell_angle_alpha 90.00
_cell_angle_beta 90.00
_cell_angle_gamma 90.00
loop_
_atom_site_label
_atom_site_type_symbol
_atom_site_fract_x
_atom_site_fract_y
_atom_site_fract_z
Sr1 Sr 0.0000 0.0000 0.0000
Pr1 Pr 0.0000 0.0000 0.5000
Al1 Al 0.2500 0.2500 0.2500
Hg1 Hg 0.2500 0.2500 0.7500
# ΔH_f (0 K) in meV/atom: -325
# Total moment in μB/cell: 0.00
# Final energy in eV/atom: -2.951

***

No. 3
# PrThAlHg (GGA-PBE, optimized geometry)
data_PrThAlHg
_chemical_formula_sum 'Pr4 Th4 Al4 Hg4'
_space_group_name_H-M_alt 'F -4 3 m'
_space_group_IT_number 216
_space_group_name_Hall 'F -4 2 3'
_cell_length_a 7.6104
_cell_length_b 7.6104
_cell_length_c 7.6104
_cell_angle_alpha 90.00
_cell_angle_beta 90.00
_cell_angle_gamma 90.00
loop_
_atom_site_label
_atom_site_type_symbol
_atom_site_fract_x
_atom_site_fract_y
_atom_site_fract_z
Pr1 Pr 0.0000 0.0000 0.0000
Th1 Th 0.0000 0.0000 0.5000
Al1 Al 0.2500 0.2500 0.7500
Hg1 Hg 0.2500 0.2500 0.2500
# ΔH_f (0 K) in meV/atom: -267
# Total moment in μB/cell: 0.00
# Final energy in eV/atom: -4.328

***

No. 4
# Pr4AlTlHg2 (GGA-PBE, optimized geometry)
data_Pr4AlTlHg2
_chemical_formula_sum 'Pr12 Al3 Tl3 Hg6'
_space_group_name_H-M_alt 'R -3 m'
_space_group_IT_number 166
_space_group_name_Hall '-R 3 2"'
_cell_length_a 5.4644
_cell_length_b 5.4644
_cell_length_c 26.8714
_cell_angle_alpha 90.00
_cell_angle_beta 90.00
_cell_angle_gamma 120.00
loop_
_atom_site_label
_atom_site_type_symbol
_atom_site_fract_x
_atom_site_fract_y
_atom_site_fract_z
Pr1 Pr 0.0000 0.0000 0.1213
Pr2 Pr 0.0000 0.0000 0.3713
Al1 Al 0.0000 0.0000 0.0000
Tl1 Tl 0.0000 0.0000 0.5000
Hg1 Hg 0.0000 0.0000 0.2491
# ΔH_f (0 K) in meV/atom: -405
# Total moment in μB/cell: 0.04
# Final energy in eV/atom: -3.634

***

No. 5
# Pr4Al2TlHg (GGA-PBE, optimized geometry)
data_Pr4Al2TlHg
_chemical_formula_sum 'Pr12 Al6 Tl3 Hg3'
_space_group_name_H-M_alt 'R -3 m'
_space_group_IT_number 166
_space_group_name_Hall '-R 3 2"'
_cell_length_a 5.4347
_cell_length_b 5.4347
_cell_length_c 26.6649
_cell_angle_alpha 90.00
_cell_angle_beta 90.00
_cell_angle_gamma 120.00
loop_
_atom_site_label
_atom_site_type_symbol
_atom_site_fract_x
_atom_site_fract_y
_atom_site_fract_z
Pr1 Pr 0.0000 0.0000 0.1231
Pr2 Pr 0.0000 0.0000 0.3730
Al1 Al 0.0000 0.0000 0.2499
Tl1 Tl 0.0000 0.0000 0.5000
Hg1 Hg 0.0000 0.0000 0.0000
# ΔH_f (0 K) in meV/atom: -359
# Total moment in μB/cell: 0.00
# Final energy in eV/atom: -4.018

***

No. 6
# Pr4AlTl2Hg (GGA-PBE, optimized geometry)
data_Pr4AlTl2Hg
_chemical_formula_sum 'Pr12 Al3 Tl6 Hg3'
_space_group_name_H-M_alt 'R -3 m'
_space_group_IT_number 166
_space_group_name_Hall '-R 3 2"'
_cell_length_a 5.4946
_cell_length_b 5.4946
_cell_length_c 26.8487
_cell_angle_alpha 90.00
_cell_angle_beta 90.00
_cell_angle_gamma 120.00
loop_
_atom_site_label
_atom_site_type_symbol
_atom_site_fract_x
_atom_site_fract_y
_atom_site_fract_z
Pr1 Pr 0.0000 0.0000 0.1226
Pr2 Pr 0.0000 0.0000 0.3730
Al1 Al 0.0000 0.0000 0.0000
Tl1 Tl 0.0000 0.0000 0.2474
Hg1 Hg 0.0000 0.0000 0.5000
# ΔH_f (0 K) in meV/atom: -382
# Total moment in μB/cell: 0.00
# Final energy in eV/atom: -3.869

***

Question: Among the records above, which one has the highest ΔH_f (0 K)?
Answer: PrThAlHg

***

Please write out number 2 again, unchanged.
# SrPrAlHg (GGA-PBE, optimized geometry)
data_SrPrAlHg
_chemical_formula_sum 'Sr4 Pr4 Al4 Hg4'
_space_group_name_H-M_alt 'F -4 3 m'
_space_group_IT_number 216
_space_group_name_Hall 'F -4 2 3'
_cell_length_a 7.8056
_cell_length_b 7.8056
_cell_length_c 7.8056
_cell_angle_alpha 90.00
_cell_angle_beta 90.00
_cell_angle_gamma 90.00
loop_
_atom_site_label
_atom_site_type_symbol
_atom_site_fract_x
_atom_site_fract_y
_atom_site_fract_z
Sr1 Sr 0.0000 0.0000 0.0000
Pr1 Pr 0.0000 0.0000 0.5000
Al1 Al 0.2500 0.2500 0.2500
Hg1 Hg 0.2500 0.2500 0.7500
# ΔH_f (0 K) in meV/atom: -325
# Total moment in μB/cell: 0.00
# Final energy in eV/atom: -2.951